1.
CuTcIr2I | PBE-GGA | relaxed

Cell lengths 4.850, 4.850, 4.868 Å; angles 90.00, 90.00, 90.00 degrees
Fractional coordinates of all 5 atoms:
Cu (0.000, 0.000, 0.000)
Tc (0.500, 0.500, 0.000)
Ir (0.000, 0.500, 0.500)
Ir (0.500, 0.000, 0.500)
I (0.500, 0.500, 0.500)

## Properties
Uncorrected formation energy in eV per atom: 2.1571

=====

2.
Cu2TcIrI | PBE-GGA | relaxed

Cell lengths 4.817, 4.817, 4.707 Å; angles 90.00, 90.00, 90.00 degrees
Fractional coordinates of all 5 atoms:
Cu (0.000, 0.500, 0.000)
Cu (0.500, 0.000, 0.000)
Tc (0.000, 0.000, 0.500)
Ir (0.000, 0.000, 0.000)
I (0.500, 0.500, 0.500)

## Properties
Uncorrected formation energy in eV per atom: 1.0898

=====

3.
CuTeIrI2 | PBE-GGA | relaxed

Cell lengths 5.634, 5.634, 5.018 Å; angles 90.00, 90.00, 90.00 degrees
Fractional coordinates of all 5 atoms:
Cu (0.000, 0.000, 0.000)
Te (0.500, 0.500, 0.000)
Ir (0.500, 0.500, 0.500)
I (0.000, 0.500, 0.500)
I (0.500, 0.000, 0.500)

## Properties
Energy above the lowest structure with this stoichiometry in kJ/mol of formula units: 0.0
Uncorrected formation energy in eV per atom: 0.7301

=====

4.
K3CuI | PBE-GGA | relaxed

Cell lengths 6.297, 6.297, 6.297 Å; angles 90.00, 90.00, 90.00 degrees
Fractional coordinates of all 5 atoms:
K (0.000, 0.000, 0.500)
K (0.000, 0.500, 0.000)
K (0.500, 0.000, 0.000)
Cu (0.000, 0.000, 0.000)
I (0.500, 0.500, 0.500)

## Properties
Energy above the lowest structure with this stoichiometry in kJ/mol of formula units: 0.0
Uncorrected formation energy in eV per atom: -0.2184

=====

5.
K3Cu5I12 | PBE-GGA | relaxed

Cell lengths 15.556, 15.556, 15.556 Å; angles 109.47, 109.47, 109.47 degrees
Fractional coordinates of all 80 atoms:
K (0.125, 0.250, 0.375)
K (0.125, 0.375, 0.750)
K (0.250, 0.375, 0.125)
K (0.250, 0.875, 0.625)
K (0.375, 0.125, 0.250)
K (0.375, 0.750, 0.125)
K (0.625, 0.250, 0.875)
K (0.625, 0.875, 0.750)
K (0.750, 0.125, 0.375)
K (0.750, 0.625, 0.875)
K (0.875, 0.625, 0.250)
K (0.875, 0.750, 0.625)
Cu (0.000, 0.000, 0.000)
Cu (0.000, 0.000, 0.500)
Cu (0.000, 0.500, 0.000)
Cu (0.000, 0.500, 0.500)
Cu (0.125, 0.750, 0.875)
Cu (0.125, 0.875, 0.250)
Cu (0.250, 0.125, 0.875)
Cu (0.250, 0.625, 0.375)
Cu (0.375, 0.250, 0.625)
Cu (0.375, 0.625, 0.750)
Cu (0.500, 0.000, 0.000)
Cu (0.500, 0.000, 0.500)
Cu (0.500, 0.500, 0.000)
Cu (0.500, 0.500, 0.500)
Cu (0.625, 0.375, 0.250)
Cu (0.625, 0.750, 0.375)
Cu (0.750, 0.375, 0.625)
Cu (0.750, 0.875, 0.125)
Cu (0.875, 0.125, 0.750)
Cu (0.875, 0.250, 0.125)
I (0.012, 0.192, 0.113)
I (0.012, 0.320, 0.899)
I (0.080, 0.692, 0.680)
I (0.080, 0.887, 0.399)
I (0.101, 0.613, 0.420)
I (0.101, 0.988, 0.680)
I (0.113, 0.012, 0.192)
I (0.113, 0.601, 0.920)
I (0.180, 0.192, 0.580)
I (0.180, 0.488, 0.601)
I (0.192, 0.113, 0.012)
I (0.192, 0.580, 0.180)
I (0.308, 0.320, 0.920)
I (0.308, 0.488, 0.387)
I (0.320, 0.899, 0.012)
I (0.320, 0.920, 0.308)
I (0.387, 0.308, 0.488)
I (0.387, 0.580, 0.899)
I (0.399, 0.080, 0.887)
I (0.399, 0.820, 0.512)
I (0.420, 0.101, 0.613)
I (0.420, 0.820, 0.808)
I (0.488, 0.387, 0.308)
I (0.488, 0.601, 0.180)
I (0.512, 0.399, 0.820)
I (0.512, 0.613, 0.692)
I (0.580, 0.180, 0.192)
I (0.580, 0.899, 0.387)
I (0.601, 0.180, 0.488)
I (0.601, 0.920, 0.113)
I (0.613, 0.420, 0.101)
I (0.613, 0.692, 0.512)
I (0.680, 0.080, 0.692)
I (0.680, 0.101, 0.988)
I (0.692, 0.512, 0.613)
I (0.692, 0.680, 0.080)
I (0.808, 0.420, 0.820)
I (0.808, 0.887, 0.988)
I (0.820, 0.512, 0.399)
I (0.820, 0.808, 0.420)
I (0.887, 0.399, 0.080)
I (0.887, 0.988, 0.808)
I (0.899, 0.012, 0.320)
I (0.899, 0.387, 0.580)
I (0.920, 0.113, 0.601)
I (0.920, 0.308, 0.320)
I (0.988, 0.680, 0.101)
I (0.988, 0.808, 0.887)

## Properties
Uncorrected formation energy in eV per atom: -0.4710

=====

6.
K3CuI4 | PBE-GGA | relaxed

Cell lengths 10.617, 9.205, 8.466 Å; angles 90.00, 90.00, 90.00 degrees
Fractional coordinates of all 16 atoms:
K (0.000, 0.140, 0.000)
K (0.242, 0.326, 0.493)
K (0.258, 0.674, 0.993)
K (0.500, 0.860, 0.500)
K (0.742, 0.674, 0.993)
K (0.758, 0.326, 0.493)
Cu (0.000, 0.821, 0.494)
Cu (0.500, 0.179, 0.994)
I (0.000, 0.096, 0.592)
I (0.000, 0.808, 0.181)
I (0.211, 0.690, 0.589)
I (0.289, 0.310, 0.089)
I (0.500, 0.192, 0.681)
I (0.500, 0.904, 0.092)
I (0.711, 0.310, 0.089)
I (0.789, 0.690, 0.589)

## Properties
Energy above the lowest structure with this stoichiometry in kJ/mol of formula units: 22.6
Uncorrected formation energy in eV per atom: -1.0607